# InCuAs2

Crystalline InCuAs2 at its relaxed geometry (PBE-GGA, Alexandria).

Calculated volume = 20.83 Å³ per atom
DOS(E_F) = 1.27 states/eV/f.u.
Uncorrected energy = -15.799 eV for the cell shown
ΔE_f = 0.33 eV/f.u.
Total magnetization = 0.00 μB per formula unit

Cell and atoms, written as extended XYZ:
```
4
Lattice="3.8117 -1.8790 0.0000 3.8117 1.8790 0.0000 -2.5828 0.0000 5.8158" Properties=species:S:1:pos:R:3 pbc="T T T"
In 0.0000 0.0000 0.0000
Cu -0.3782 0.0000 4.2387
As 1.8776 0.0000 3.3911
As 5.4275 0.0000 1.5664
```


# AcScSb3

Crystalline AcScSb3 at its relaxed geometry (PBE-GGA, Alexandria).

Calculated volume = 32.68 Å³ per atom
DOS(E_F) = 4.28 states/eV/f.u.
Uncorrected energy = -25.134 eV for the cell shown
ΔE to the lowest computed polymorph = 1.79 eV per formula unit
Formation energy (no corrections) = -465 meV per atom
Total magnetization = 0.00 μB per formula unit

Cell and atoms, written as extended XYZ:
```
5
Lattice="5.4670 0.0000 0.0000 0.0000 5.4670 0.0000 0.0000 0.0000 5.4670" Properties=species:S:1:pos:R:3 pbc="T T T"
Ac 0.0000 0.0000 0.0000
Sc 2.7335 2.7335 2.7335
Sb 0.0000 2.7335 2.7335
Sb 2.7335 0.0000 2.7335
Sb 2.7335 2.7335 0.0000
```


# Nd2UNi9

Crystalline Nd2UNi9 at its relaxed geometry (PBE-GGA, Alexandria).

Calculated volume = 14.77 Å³ per atom
DOS(E_F) = 15.58 states/eV/f.u.
Uncorrected energy = -75.880 eV for the cell shown
ΔE_f = -3.02 eV/f.u.
Total magnetization = 1.12 μB per formula unit

Cell and atoms, written as extended XYZ:
```
12
Lattice="2.4788 1.4312 8.3242 -2.4788 1.4312 8.3242 0.0000 -2.8623 8.3242" Properties=species:S:1:pos:R:3 pbc="T T T"
Nd 0.0000 0.0000 3.4506
Nd 0.0000 0.0000 21.5221
U 0.0000 0.0000 0.0000
Ni -1.2358 -0.7135 10.3150
Ni 0.0000 0.0000 8.3140
Ni 0.0000 -1.4270 14.6577
Ni -1.2358 0.7135 14.6577
Ni 0.0000 0.0000 12.4863
Ni 1.2358 -0.7135 10.3150
Ni 0.0000 1.4270 10.3150
Ni 0.0000 0.0000 16.6587
Ni 1.2358 0.7135 14.6577
```


# PIr2Pb

Crystalline PIr2Pb at its relaxed geometry (PBE-GGA, Alexandria).

Calculated volume = 16.85 Å³ per atom
DOS(E_F) = 2.87 states/eV/f.u.
Uncorrected energy = -24.500 eV for the cell shown
ΔE to the lowest computed polymorph = 2.56 eV per formula unit
ΔE_f = 2.34 eV/f.u.
Total magnetization = 0.00 μB per formula unit

Cell and atoms, written as extended XYZ:
```
4
Lattice="-2.1553 2.1553 3.6275 2.1553 -2.1553 3.6275 2.1553 2.1553 -3.6275" Properties=species:S:1:pos:R:3 pbc="T T T"
P 0.0000 0.0000 0.0000
Ir 2.1553 0.0000 1.8138
Ir 0.0000 2.1553 1.8138
Pb 0.0000 0.0000 3.6275
```


> DOS(E_F) of number 3 (Nd2UNi9)?

15.58 states/eV/f.u.